Crystalline Pr4InIr at its relaxed geometry, computed with PBE.

a b c (Å): 10.048 10.048 10.048
angles (deg): 60.00 60.00 60.00
Positions (direct):
In: 0.669 0.669 0.669
In: 0.993 0.669 0.669
In: 0.669 0.993 0.669
In: 0.669 0.669 0.993
Ir: 0.109 0.109 0.109
Ir: 0.674 0.109 0.109
Ir: 0.109 0.674 0.109
Ir: 0.109 0.109 0.674
Pr: 0.442 0.058 0.058
Pr: 0.058 0.442 0.058
Pr: 0.442 0.442 0.058
Pr: 0.901 0.901 0.296
Pr: 0.691 0.309 0.309
Pr: 0.309 0.691 0.309
Pr: 0.691 0.691 0.309
Pr: 0.058 0.442 0.442
Pr: 0.442 0.058 0.442
Pr: 0.058 0.058 0.442
Pr: 0.309 0.309 0.691
Pr: 0.691 0.309 0.691
Pr: 0.309 0.691 0.691
Pr: 0.901 0.296 0.901
Pr: 0.296 0.901 0.901
Pr: 0.901 0.901 0.901

Output
Uncorrected energy, eV for the cell shown: -134.23

***

Crystalline Pr2InSnIr4 at its relaxed geometry, computed with PBE.

a b c (Å): 4.593 4.593 9.214
angles (deg): 90.00 90.00 120.00
Positions (direct):
In: 0.000 0.000 0.500
Ir: 0.667 0.333 0.089
Ir: 0.667 0.333 0.406
Ir: 0.333 0.667 0.594
Ir: 0.333 0.667 0.911
Pr: 0.333 0.667 0.253
Pr: 0.667 0.333 0.747
Sn: 0.000 0.000 0.000

Output
Uncorrected energy, eV for the cell shown: -54.57

***

Crystalline In4IrPt at its relaxed geometry, computed with PBE.

a b c (Å): 4.540 4.540 6.428
angles (deg): 90.00 90.00 90.00
Positions (direct):
In: 0.500 0.000 0.246
In: 0.000 0.500 0.246
In: 0.500 0.000 0.754
In: 0.000 0.500 0.754
Ir: 0.000 0.000 0.000
Pt: 0.500 0.500 0.500

Output
Uncorrected energy, eV for the cell shown: -27.80

***

Crystalline Tm3InSn2IrPt2 at its relaxed geometry, computed with PBE.

a b c (Å): 3.808 7.601 7.601
angles (deg): 120.02 90.00 90.00
Positions (direct):
In: 0.000 0.738 0.738
Ir: 0.500 0.008 0.008
Pt: 0.000 0.665 0.331
Pt: 0.000 0.331 0.665
Sn: 0.000 0.999 0.261
Sn: 0.000 0.261 0.999
Tm: 0.500 0.405 0.405
Tm: 0.500 0.997 0.598
Tm: 0.500 0.598 0.997

Output
Uncorrected energy, eV for the cell shown: -54.08

***

Crystalline Y3In2SnIr2Pt at its relaxed geometry, computed with PBE.

a b c (Å): 3.948 7.562 7.562
angles (deg): 120.25 90.00 90.00
Positions (direct):
In: 0.500 0.739 0.000
In: 0.500 0.000 0.739
Ir: 0.500 0.662 0.332
Ir: 0.500 0.332 0.662
Pt: 0.000 0.003 0.003
Sn: 0.500 0.261 0.261
Y: 0.000 0.409 0.000
Y: 0.000 0.000 0.409
Y: 0.000 0.594 0.594

Output
Uncorrected energy, eV for the cell shown: -60.09

***

Crystalline Y3In2SnIrPt2 at its relaxed geometry, computed with PBE.

a b c (Å): 3.859 7.672 7.672
angles (deg): 120.23 90.00 90.00
Positions (direct):
In: 0.500 0.000 0.741
In: 0.500 0.741 0.000
Ir: 0.000 0.006 0.006
Pt: 0.500 0.664 0.332
Pt: 0.500 0.332 0.664
Sn: 0.500 0.257 0.257
Y: 0.000 0.000 0.404
Y: 0.000 0.597 0.597
Y: 0.000 0.404 0.000

Output
Uncorrected energy, eV for the cell shown: -58.36

***

Crystalline Sr2In4IrPt at its relaxed geometry, computed with PBE.

a b c (Å): 8.046 5.925 5.925
angles (deg): 44.29 90.00 90.00
Positions (direct):
In: 0.300 0.348 0.348
In: 0.700 0.348 0.348
In: 0.193 0.652 0.652
In: 0.807 0.652 0.652
Ir: 0.000 0.219 0.219
Pt: 0.500 0.781 0.781
Sr: 0.500 0.062 0.062
Sr: 0.000 0.938 0.938

Output
Uncorrected energy, eV for the cell shown: -33.58

***

Crystalline Tb3In3Ir2Pt at its relaxed geometry, computed with PBE.

a b c (Å): 7.587 7.587 3.923
angles (deg): 90.00 90.00 120.00
Positions (direct):
In: 0.261 0.000 0.500
In: 0.000 0.261 0.500
In: 0.739 0.739 0.500
Ir: 0.667 0.333 0.500
Ir: 0.333 0.667 0.500
Pt: 0.000 0.000 0.000
Tb: 0.592 0.000 0.000
Tb: 0.408 0.408 0.000
Tb: 0.000 0.592 0.000

Output
Uncorrected energy, eV for the cell shown: -53.03

***

Crystalline Tm3In3IrPt2 at its relaxed geometry, computed with PBE.

a b c (Å): 7.588 7.588 3.840
angles (deg): 90.00 90.00 120.00
Positions (direct):
In: 0.260 0.000 0.500
In: 0.000 0.260 0.500
In: 0.740 0.740 0.500
Ir: 0.000 0.000 0.000
Pt: 0.667 0.333 0.500
Pt: 0.333 0.667 0.500
Tm: 0.600 0.000 0.000
Tm: 0.400 0.400 0.000
Tm: 0.000 0.600 0.000

Output
Uncorrected energy, eV for the cell shown: -50.73

***

Crystalline Y2In4IrPt at its relaxed geometry, computed with PBE.

a b c (Å): 7.569 5.686 5.686
angles (deg): 46.22 90.00 90.00
Positions (direct):
In: 0.200 0.138 0.138
In: 0.800 0.138 0.138
In: 0.298 0.861 0.861
In: 0.702 0.861 0.861
Ir: 0.000 0.711 0.711
Pt: 0.500 0.289 0.289
Y: 0.000 0.426 0.426
Y: 0.500 0.575 0.575

Output
Uncorrected energy, eV for the cell shown: -43.95

***

Crystalline Zn4In2IrPt at its relaxed geometry, computed with PBE.

a b c (Å): 4.550 4.550 7.958
angles (deg): 90.00 90.00 120.00
Positions (direct):
In: 0.667 0.333 0.000
In: 0.667 0.333 0.500
Ir: 0.000 0.000 0.000
Pt: 0.333 0.667 0.500
Zn: 0.333 0.667 0.172
Zn: 0.000 0.000 0.321
Zn: 0.000 0.000 0.679
Zn: 0.333 0.667 0.828

Output
Uncorrected energy, eV for the cell shown: -26.86

***

Crystalline RbInIr at its relaxed geometry, computed with PBE.

a b c (Å): 4.928 4.928 4.928
angles (deg): 60.00 60.00 60.00
Positions (direct):
In: 0.250 0.250 0.250
Ir: 0.000 0.000 0.000
Rb: 0.750 0.750 0.750

Output
Uncorrected energy, eV for the cell shown: -10.40

***

Crystalline RbInIr at its relaxed geometry, computed with PBE.

a b c (Å): 5.232 5.232 5.232
angles (deg): 60.00 60.00 60.00
Positions (direct):
In: 0.250 0.250 0.250
Ir: 0.750 0.750 0.750
Rb: 0.000 0.000 0.000

Output
Uncorrected energy, eV for the cell shown: -7.78

***

Crystalline In8Ir2S at its relaxed geometry, computed with PBE.

a b c (Å): 10.230 10.034 10.034
angles (deg): 90.00 90.00 90.00
Positions (direct):
In: 0.168 0.000 0.000
In: 0.832 0.000 0.000
In: 0.307 0.301 0.052
In: 0.693 0.301 0.052
In: 0.500 0.904 0.096
In: 0.000 0.816 0.184
In: 0.000 0.199 0.199
In: 0.193 0.552 0.199
In: 0.807 0.552 0.199
In: 0.307 0.052 0.301
In: 0.693 0.052 0.301
In: 0.500 0.699 0.301
In: 0.500 0.316 0.316
In: 0.000 0.404 0.404
In: 0.193 0.801 0.448
In: 0.807 0.801 0.448
In: 0.332 0.500 0.500
In: 0.668 0.500 0.500
In: 0.193 0.199 0.552
In: 0.807 0.199 0.552
In: 0.000 0.596 0.596
In: 0.500 0.684 0.684
In: 0.500 0.301 0.699
In: 0.307 0.948 0.699
In: 0.693 0.948 0.699
In: 0.193 0.448 0.801
In: 0.807 0.448 0.801
In: 0.000 0.801 0.801
In: 0.000 0.184 0.816
In: 0.500 0.096 0.904
In: 0.307 0.699 0.948
In: 0.693 0.699 0.948
Ir: 0.260 0.812 0.188
Ir: 0.740 0.812 0.188
Ir: 0.240 0.312 0.312
Ir: 0.760 0.312 0.312
Ir: 0.240 0.688 0.688
Ir: 0.760 0.688 0.688
Ir: 0.260 0.188 0.812
Ir: 0.740 0.188 0.812
S: 0.000 0.500 0.000
S: 0.500 0.500 0.000
S: 0.000 0.000 0.500
S: 0.500 0.000 0.500

Output
Uncorrected energy, eV for the cell shown: -184.93

***

Crystalline InIr3S5 at its relaxed geometry, computed with PBE.

a b c (Å): 5.706 5.706 6.718
angles (deg): 90.00 90.00 120.00
Positions (direct):
In: 0.000 0.000 0.000
Ir: 0.500 0.000 0.500
Ir: 0.000 0.500 0.500
Ir: 0.500 0.500 0.500
S: 0.667 0.333 0.249
S: 0.333 0.667 0.249
S: 0.000 0.000 0.500
S: 0.667 0.333 0.751
S: 0.333 0.667 0.751

Output
Uncorrected energy, eV for the cell shown: -50.00

***

Crystalline In8Ir2S at its relaxed geometry, computed with PBE.

a b c (Å): 10.033 10.033 10.235
angles (deg): 90.00 90.00 90.00
Positions (direct):
In: 0.184 0.184 0.000
In: 0.802 0.198 0.000
In: 0.596 0.404 0.000
In: 0.404 0.596 0.000
In: 0.198 0.802 0.000
In: 0.816 0.816 0.000
In: 0.000 0.000 0.169
In: 0.449 0.199 0.193
In: 0.199 0.449 0.193
In: 0.801 0.551 0.193
In: 0.551 0.801 0.193
In: 0.699 0.051 0.307
In: 0.949 0.301 0.307
In: 0.051 0.699 0.307
In: 0.301 0.949 0.307
In: 0.500 0.500 0.331
In: 0.096 0.096 0.500
In: 0.302 0.302 0.500
In: 0.684 0.316 0.500
In: 0.316 0.684 0.500
In: 0.698 0.698 0.500
In: 0.904 0.904 0.500
In: 0.500 0.500 0.669
In: 0.699 0.051 0.693
In: 0.949 0.301 0.693
In: 0.051 0.699 0.693
In: 0.301 0.949 0.693
In: 0.449 0.199 0.807
In: 0.199 0.449 0.807
In: 0.801 0.551 0.807
In: 0.551 0.801 0.807
In: 0.000 0.000 0.831
Ir: 0.688 0.312 0.240
Ir: 0.312 0.688 0.240
Ir: 0.188 0.188 0.260
Ir: 0.812 0.812 0.260
Ir: 0.188 0.188 0.740
Ir: 0.812 0.812 0.740
Ir: 0.688 0.312 0.760
Ir: 0.312 0.688 0.760
S: 0.500 0.000 0.000
S: 0.000 0.500 0.000
S: 0.500 0.000 0.500
S: 0.000 0.500 0.500

Output
Uncorrected energy, eV for the cell shown: -184.93

***

Crystalline InSb2Ir at its relaxed geometry, computed with PBE.

a b c (Å): 5.008 5.008 5.008
angles (deg): 60.00 60.00 60.00
Positions (direct):
In: 0.500 0.500 0.500
Ir: 0.250 0.250 0.250
Sb: 0.000 0.000 0.000
Sb: 0.750 0.750 0.750

Output
Uncorrected energy, eV for the cell shown: -18.12

***

Crystalline Ta2InSbIr2 at its relaxed geometry, computed with PBE.

a b c (Å): 7.636 7.636 6.223
angles (deg): 114.05 114.05 48.09
Positions (direct):
In: 0.000 0.750 0.125
In: 0.250 0.000 0.875
Ir: 0.384 0.616 0.000
Ir: 0.125 0.375 0.259
Ir: 0.866 0.134 0.500
Ir: 0.625 0.875 0.741
Sb: 0.750 0.500 0.375
Sb: 0.500 0.250 0.625
Ta: 0.496 0.246 0.121
Ta: 0.246 0.996 0.371
Ta: 0.004 0.754 0.629
Ta: 0.754 0.504 0.879

Output
Uncorrected energy, eV for the cell shown: -101.73

***

Crystalline ScInIr2 at its relaxed geometry, computed with PBE.

a b c (Å): 4.360 4.360 3.550
angles (deg): 90.00 90.00 90.00
Positions (direct):
In: 0.000 0.000 0.000
Ir: 0.500 0.000 0.500
Ir: 0.000 0.500 0.500
Sc: 0.500 0.500 0.000

Output
Uncorrected energy, eV for the cell shown: -29.32

***

Crystalline ScInIr2 at its relaxed geometry, computed with PBE.

a b c (Å): 4.478 4.478 8.572
angles (deg): 90.00 90.00 120.00
Positions (direct):
In: 0.000 0.000 0.000
In: 0.000 0.000 0.500
Ir: 0.667 0.333 0.104
Ir: 0.667 0.333 0.396
Ir: 0.333 0.667 0.604
Ir: 0.333 0.667 0.896
Sc: 0.333 0.667 0.250
Sc: 0.667 0.333 0.750

Output
Uncorrected energy, eV for the cell shown: -56.88